# Rb2HgH2

A relaxed Rb2HgH2 crystal (PBE-GGA, Alexandria).

```
Rb2HgH2
1.0
8.781 0.000 0.000
0.000 8.781 0.000
0.000 0.000 3.657
Rb Hg H
4 2 4
Direct
0.142 0.358 0.000 Rb
0.358 0.858 0.000 Rb
0.642 0.142 0.000 Rb
0.858 0.642 0.000 Rb
0.000 0.000 0.000 Hg
0.500 0.500 0.000 Hg
0.146 0.646 0.500 H
0.354 0.146 0.500 H
0.646 0.854 0.500 H
0.854 0.354 0.500 H
```

Properties
Density of states at the Fermi level ... 0.00 states/eV per cell
Space group ... P4/mbm, No. 127
Size of the total moment ... 0.0 μB per cell
Relative energy among the computed polymorphs ... 64 meV per atom
Volume ... 28.19 A^3/atom